# 1
The following is a DFT calculation (SCAN) of YP3O9 at its PBEsol-relaxed geometry.

Calculated values
**Energy**: -0.4282 hartree per atom
**Raw formation energy**: -2.7979 eV/atom
**Total magnetic moment**: 0.0 μB/f.u.
**Energy relative to the lowest polymorph listed for this composition**: 11 meV/atom

Cell lengths 7.8749, 7.8749, 10.0941 Å; angles 123.32, 123.32, 50.80 degrees
Fractional coordinates of all 26 atoms:
Y1 0.2342 0.7658 0.5000
Y2 0.7658 0.2342 0.0000
P1 0.1774 0.3366 0.7720
P2 0.3366 0.1774 0.2720
P3 0.5613 0.7409 0.3344
P4 0.7409 0.5613 0.8344
P5 0.7428 0.9524 0.1630
P6 0.9524 0.7428 0.6630
O1 0.0814 0.8166 0.6567
O2 0.1294 0.1431 0.6314
O3 0.1305 0.5010 0.6968
O4 0.1431 0.1294 0.1314
O5 0.2791 0.4123 0.3964
O6 0.3836 0.7481 0.3565
O7 0.4123 0.2791 0.8964
O8 0.4986 0.9990 0.3754
O9 0.5010 0.1305 0.1968
O10 0.5903 0.6148 0.6730
O11 0.6148 0.5903 0.1730
O12 0.6623 0.7962 0.9794
O13 0.7481 0.3836 0.8565
O14 0.7962 0.6623 0.4794
O15 0.8166 0.0814 0.1567
O16 0.8174 0.9089 0.7838
O17 0.9089 0.8174 0.2838
O18 0.9990 0.4986 0.8754

# 2
The following is a DFT calculation (SCAN) of YP3O9 at its PBEsol-relaxed geometry.

Calculated values
**Energy**: -0.4285 hartree per atom
**Raw formation energy**: -2.8034 eV/atom
**Total magnetic moment**: 0.0 μB/f.u.
**Energy relative to the lowest polymorph listed for this composition**: 6 meV/atom

Cell lengths 12.9309, 12.9309, 12.9309 Å; angles 110.46, 110.46, 110.46 degrees
Fractional coordinates of all 104 atoms:
Y1 0.0000 0.0000 0.0000
Y2 0.0204 0.5376 0.7304
Y3 0.2696 0.9796 0.4624
Y4 0.4624 0.2696 0.9796
Y5 0.5000 0.5000 0.5000
Y6 0.5376 0.7304 0.0204
Y7 0.7304 0.0204 0.5376
Y8 0.9796 0.4624 0.2696
P1 0.0171 0.1996 0.2983
P2 0.0688 0.2870 0.7665
P3 0.1996 0.2983 0.0171
P4 0.2098 0.6721 0.6242
P5 0.2335 0.9312 0.7130
P6 0.2686 0.2696 0.5187
P7 0.2696 0.5187 0.2686
P8 0.2870 0.7665 0.0688
P9 0.2983 0.0171 0.1996
P10 0.3279 0.3758 0.7902
P11 0.3758 0.7902 0.3279
P12 0.4813 0.7314 0.7304
P13 0.5187 0.2686 0.2696
P14 0.6242 0.2098 0.6721
P15 0.6721 0.6242 0.2098
P16 0.7017 0.9829 0.8004
P17 0.7130 0.2335 0.9312
P18 0.7304 0.4813 0.7314
P19 0.7314 0.7304 0.4813
P20 0.7665 0.0688 0.2870
P21 0.7902 0.3279 0.3758
P22 0.8004 0.7017 0.9829
P23 0.9312 0.7130 0.2335
P24 0.9829 0.8004 0.7017
O1 0.0040 0.6975 0.7133
O2 0.0214 0.1080 0.1926
O3 0.0533 0.8461 0.3258
O4 0.0630 0.3992 0.7635
O5 0.0876 0.8827 0.6785
O6 0.1080 0.1926 0.0214
O7 0.1107 0.6188 0.4858
O8 0.1173 0.3215 0.9124
O9 0.1391 0.5024 0.2301
O10 0.1449 0.2723 0.4382
O11 0.1539 0.6742 0.9467
O12 0.1777 0.6003 0.6887
O13 0.1794 0.2785 0.7427
O14 0.1926 0.0214 0.1080
O15 0.2301 0.1391 0.5024
O16 0.2364 0.9370 0.6008
O17 0.2573 0.8206 0.7215
O18 0.2723 0.4382 0.1449
O19 0.2785 0.7427 0.1794
O20 0.2867 0.9960 0.3025
O21 0.3025 0.2867 0.9960
O22 0.3113 0.8223 0.3997
O23 0.3137 0.3750 0.6621
O24 0.3215 0.9124 0.1173
O25 0.3258 0.0533 0.8461
O26 0.3270 0.4916 0.3706
O27 0.3379 0.6863 0.6250
O28 0.3706 0.3270 0.4916
O29 0.3750 0.6621 0.3137
O30 0.3812 0.5142 0.8893
O31 0.3992 0.7635 0.0630
O32 0.3997 0.3113 0.8223
O33 0.4382 0.1449 0.2723
O34 0.4858 0.1107 0.6188
O35 0.4916 0.3706 0.3270
O36 0.4976 0.7699 0.8609
O37 0.5024 0.2301 0.1391
O38 0.5084 0.6294 0.6730
O39 0.5142 0.8893 0.3812
O40 0.5618 0.8551 0.7277
O41 0.6003 0.6887 0.1777
O42 0.6008 0.2364 0.9370
O43 0.6188 0.4858 0.1107
O44 0.6250 0.3379 0.6863
O45 0.6294 0.6730 0.5084
O46 0.6621 0.3137 0.3750
O47 0.6730 0.5084 0.6294
O48 0.6742 0.9467 0.1539
O49 0.6785 0.0876 0.8827
O50 0.6863 0.6250 0.3379
O51 0.6887 0.1777 0.6003
O52 0.6975 0.7133 0.0040
O53 0.7133 0.0040 0.6975
O54 0.7215 0.2573 0.8206
O55 0.7277 0.5618 0.8551
O56 0.7427 0.1794 0.2785
O57 0.7635 0.0630 0.3992
O58 0.7699 0.8609 0.4976
O59 0.8074 0.9786 0.8920
O60 0.8206 0.7215 0.2573
O61 0.8223 0.3997 0.3113
O62 0.8461 0.3258 0.0533
O63 0.8551 0.7277 0.5618
O64 0.8609 0.4976 0.7699
O65 0.8827 0.6785 0.0876
O66 0.8893 0.3812 0.5142
O67 0.8920 0.8074 0.9786
O68 0.9124 0.1173 0.3215
O69 0.9370 0.6008 0.2364
O70 0.9467 0.1539 0.6742
O71 0.9786 0.8920 0.8074
O72 0.9960 0.3025 0.2867